1.
The following is a PBE calculation of a relaxed structure of ZrNbBi, from the Alexandria database.

Cell: 10.4411 3.8423 6.9322 Å, 90.00 104.15 90.00°
Closest atoms and distances in Å follow each position.
Space group Cm (No. 8)
One atom of each set of equivalent atoms:
1 Zr 0.0000 0.0000 0.0000  5 Bi 3.03-3.29, 3 Nb 3.08-3.28, 2 Zr 3.35
2 Zr 0.1840 0.5000 0.3581  4 Bi 3.01-3.27, 4 Nb 3.03-3.11, 2 Zr 3.35
3 Nb 0.0200 0.0000 0.5355  2 Nb 2.90, 4 Bi 2.98, 2 Zr 3.03
4 Nb 0.3534 0.0000 0.6721  2 Nb 2.90, 3 Bi 3.03-3.08, 4 Zr 3.08-3.11
5 Bi 0.1774 0.5000 0.8274  5 Nb 2.98-3.29, 4 Zr 3.10-3.29
6 Bi 0.3717 0.0000 0.2347  3 Nb 2.98-3.08, 5 Zr 3.01-3.16

Results
Magnetization = 0.0 Bohr magnetons per cell
Energy of formation = -0.10 eV per atom
V = 67.4 Å³/f.u.
Energy = -91.15 eV per cell

=====

2.
The following is a PBE calculation of a relaxed structure of Be2IrPt, from the Alexandria database.

Cell: 5.6405 5.6405 5.6405 Å, 90.00 90.00 90.00°
Closest atoms and distances in Å follow each position.
Space group Fm-3m (No. 225)
One atom of each set of equivalent atoms:
1 Be 0.2500 0.2500 0.2500  4 Ir 2.44, 4 Pt 2.44
2 Ir 0.0000 0.0000 0.0000  8 Be 2.44
3 Pt 0.0000 0.0000 0.5000  8 Be 2.44

Results
Magnetization = 0.0 Bohr magnetons per cell
Energy of formation = -0.71 eV per atom
Relative energy among the computed polymorphs = 0 meV per atom
V = 44.9 Å³/f.u.
Energy = -100.85 eV per cell

=====

3.
The following is a PBE calculation of a relaxed structure of Cd4IrRh, from the Alexandria database.

Cell: 7.6590 7.6590 7.6590 Å, 90.00 90.00 90.00°
Closest atoms and distances in Å follow each position.
Space group F-43m (No. 216)
One atom of each set of equivalent atoms:
1 Cd 0.1250 0.1250 0.1250  6 Cd 2.71
2 Ir 0.2500 0.2500 0.7500  12 Cd 3.18, 4 Rh 3.32
3 Rh 0.0000 0.0000 0.5000  12 Cd 3.18, 4 Ir 3.32

Results
Magnetization = 0.0 Bohr magnetons per cell
Energy of formation = 0.48 eV per atom
V = 112.3 Å³/f.u.
Energy = -67.93 eV per cell

=====

4.
The following is a PBE calculation of a relaxed structure of Ce4Ho3Se8, from the Alexandria database.

Cell: 8.1471 8.1471 23.0485 Å, 90.00 90.00 120.00°
Closest atoms and distances in Å follow each position.
Space group R-3m (No. 166, hexagonal axes)
One atom of each set of equivalent atoms:
1 Ce 0.0000 0.0000 0.0000  6 Se 3.02, 2 Ce 3.37
2 Ce 0.0000 0.0000 0.1461  4 Se 2.84-2.90
3 Ce 0.0000 0.0000 0.5000  6 Se 3.06
4 Ho 0.0000 0.5000 0.0000  6 Se 2.78-2.92
5 Se 0.0000 0.0000 0.2692  3 Ho 2.78, 1 Ce 2.84
6 Se 0.0116 0.5058 0.2560  3 Ce 2.90-3.06, 2 Ho 2.92

Results
Magnetization = 16.2 Bohr magnetons per cell
Relative energy among the computed polymorphs = 214 meV per atom
V = 441.6 Å³/f.u.
Uncorrected formation energy = -1.588 eV/atom
Energy = -267.49 eV per cell

=====

5.
The following is a PBE calculation of a relaxed structure of Li3Ca2PtAu12, from the Alexandria database.

Cell: 6.8184 6.8184 28.3796 Å, 90.00 90.00 120.00°
Closest atoms and distances in Å follow each position.
Space group R-3m (No. 166, hexagonal axes)
One atom of each set of equivalent atoms:
1 Li 0.0000 0.5000 0.0000  4 Au 2.50
2 Ca 0.0000 0.0000 0.1401  6 Au 3.04-3.16
3 Pt 0.0000 0.0000 0.5000  6 Au 2.68
4 Au 0.0227 0.5114 0.8921  1 Pt 2.68, 2 Au 2.78
5 Au 0.0589 0.5294 0.6223  2 Li 2.50, 2 Au 2.78

Results
Magnetization = 0.0 Bohr magnetons per cell
Energy of formation = -0.25 eV per atom
V = 380.9 Å³/f.u.
Energy = -178.85 eV per cell

=====

6.
The following is a PBE calculation of a relaxed structure of Sc3GaN, from the Alexandria database.

Cell: 6.0918 6.0918 10.9913 Å, 90.00 90.00 90.00°
Closest atoms and distances in Å follow each position.
Space group I-4m2 (No. 119)
One atom of each set of equivalent atoms:
1 Sc 0.0000 0.0000 0.1296  3 Sc 2.85-3.18, 2 Ga 3.05
2 Sc 0.0000 0.2514 0.6172  2 N 2.00-2.10
3 Ga 0.0000 0.5000 0.1269  1 Ga 2.71
4 N 0.0000 0.0000 0.5000  4 Sc 2.00
5 N 0.0000 0.5000 0.7500  4 Sc 2.10

Results
Magnetization = 0.0 Bohr magnetons per cell
V = 102.0 Å³/f.u.
Uncorrected formation energy = -0.495 eV/atom
Energy = -131.28 eV per cell

=====

7.
The following is a PBE calculation of a relaxed structure of LaPr4Tm2Sc, from the Alexandria database.

Cell: 5.1053 5.1234 10.1191 Å, 90.00 90.00 90.00°
Closest atoms and distances in Å follow each position.
Space group Pmmm (No. 47)
One atom of each set of equivalent atoms:
1 La 0.0000 0.0000 0.0000  8 Pr 3.60-3.61, 4 Sc 3.62
2 Pr 0.0000 0.5000 0.2510  4 Tm 3.59, 2 Sc 3.60, 2 La 3.61, 4 Pr 3.62
3 Pr 0.5000 0.0000 0.2514  4 Tm 3.58-3.59, 2 La 3.60, 2 Sc 3.61, 4 Pr 3.62
4 Tm 0.0000 0.0000 0.5000  8 Pr 3.58-3.59, 4 Tm 3.62
5 Tm 0.5000 0.5000 0.5000  8 Pr 3.59, 4 Tm 3.62
6 Sc 0.5000 0.5000 0.0000  8 Pr 3.60-3.61, 4 La 3.62

Results
Magnetization = 0.0 Bohr magnetons per cell
Energy of formation = 0.03 eV per atom
V = 264.7 Å³/f.u.
Energy = -39.07 eV per cell

=====

8.
The following is a PBE calculation of a relaxed structure of Dy6Co2Tc, from the Alexandria database.

Cell: 9.2470 9.4169 9.6308 Å, 90.00 90.00 90.00°
Closest atoms and distances in Å follow each position.
Space group Immm (No. 71)
One atom of each set of equivalent atoms:
1 Dy 0.0000 0.1865 0.2379  2 Co 2.88-3.19, 2 Tc 2.89-3.07
2 Dy 0.1855 0.5000 0.3286  3 Co 2.69-2.85
3 Dy 0.2392 0.3238 0.0000  3 Co 2.83-2.97, 1 Tc 2.93
4 Co 0.0000 0.3327 0.5000  8 Dy 2.83-2.88, 1 Tc 3.13, 1 Co 3.15
5 Co 0.0000 0.5000 0.1130  1 Co 2.18
6 Tc 0.0000 0.0000 0.0000  4 Dy 2.89
7 Tc 0.0000 0.0000 0.5000  8 Dy 2.93-3.07, 2 Co 3.13

Results
Magnetization = 0.0 Bohr magnetons per cell
Energy of formation = -0.11 eV per atom
V = 209.7 Å³/f.u.
Energy = -212.76 eV per cell

=====

9.
The following is a PBE calculation of a relaxed structure of Dy2PtCl2, from the Alexandria database.

Cell: 3.9267 3.9267 31.3737 Å, 90.00 90.00 120.00°
Closest atoms and distances in Å follow each position.
Space group R-3m (No. 166, hexagonal axes)
One atom of each set of equivalent atoms:
1 Dy 0.0000 0.0000 0.1130  3 Pt 2.82, 3 Cl 2.85
2 Pt 0.0000 0.0000 0.5000  6 Dy 2.82
3 Cl 0.0000 0.0000 0.2755  3 Dy 2.85

Results
Magnetization = 0.0 Bohr magnetons per cell
V = 139.6 Å³/f.u.
Uncorrected formation energy = -1.698 eV/atom
Energy = -82.28 eV per cell

=====

10.
The following is a PBE calculation of a relaxed structure of Ca2LaIr2, from the Alexandria database.

Cell: 4.4695 6.1550 9.0046 Å, 90.00 90.00 90.00°
Closest atoms and distances in Å follow each position.
Space group Immm (No. 71)
One atom of each set of equivalent atoms:
1 Ca 0.0000 0.0000 0.1981  6 Ir 3.15-3.24, 2 La 3.52
2 La 0.0000 0.5000 0.0000  4 Ir 2.85
3 Ir 0.0000 0.2867 0.5000  1 Ir 2.63, 2 La 2.85

Results
Magnetization = 0.0 Bohr magnetons per cell
Energy of formation = -0.44 eV per atom
Relative energy among the computed polymorphs = 0 meV per atom
V = 123.9 Å³/f.u.
Energy = -57.71 eV per cell

=====

11.
The following is a PBE calculation of a relaxed structure of CoAs, from the Alexandria database.

Cell: 2.9876 2.9876 7.7657 Å, 90.00 90.00 120.00°
Closest atoms and distances in Å follow each position.
Space group P6_3mc (No. 186)
One atom of each set of equivalent atoms:
1 Co 0.3333 0.6667 0.0000  4 As 2.31-2.35
2 As 0.3333 0.6667 0.3026  4 Co 2.31-2.35

Results
Magnetization = 0.9 Bohr magnetons per cell
Energy of formation = 0.05 eV per atom
V = 30.0 Å³/f.u.
Energy = -23.32 eV per cell

=====

12.
The following is a PBE calculation of a relaxed structure of PaGe2Mo, from the Alexandria database.

Cell: 3.9322 3.9322 20.5458 Å, 90.00 90.00 90.00°
Closest atoms and distances in Å follow each position.
Space group I4/mmm (No. 139)
One atom of each set of equivalent atoms:
1 Pa 0.0000 0.0000 0.1085  8 Ge 2.97-2.99
2 Ge 0.0000 0.0000 0.3382  4 Mo 2.67, 4 Pa 2.99
3 Ge 0.0000 0.5000 0.0000  4 Ge 2.78, 4 Pa 2.97
4 Mo 0.0000 0.5000 0.2500  4 Ge 2.67, 4 Mo 2.78

Results
Magnetization = 0.0 Bohr magnetons per cell
Energy of formation = -0.32 eV per atom
Relative energy among the computed polymorphs = 0 meV per atom
V = 79.4 Å³/f.u.
Energy = -123.39 eV per cell